--- 1 ---
This record from Alexandria describes a relaxed Ac4Pt2S crystal. The functional is GGA-PBE.

Properties
size of the total moment = 0.0 μB/cell

Lattice parameters (Å, degrees): 4.3704 8.4107 7.6722 64.04 89.95 74.91
Last column: nearest neighbours and their distance in Å.
Atoms (fractional coordinates):
Ac 0.8723 0.2562 0.5502  3 Pt 3.01-3.11, 1 S 3.12
Ac 0.6379 0.7251 0.9944  3 Pt 3.07-3.09, 2 S 3.14
Ac 0.1277 0.7438 0.4498  3 Pt 3.01-3.11, 1 S 3.12
Ac 0.3621 0.2749 0.0056  3 Pt 3.07-3.09, 2 S 3.14
S 0.0000 0.0000 0.0000  6 Ac 3.12-3.14
Pt 0.2657 0.4693 0.2688  6 Ac 3.01-3.11
Pt 0.7343 0.5307 0.7312  6 Ac 3.01-3.11

--- 2 ---
This record from Alexandria describes a relaxed Ac4Pt2S crystal. The functional is GGA-PBE.

Properties
size of the total moment = 0.0 μB/cell

Lattice parameters (Å, degrees): 5.7563 5.7563 8.4447 109.93 109.93 90.00
Last column: nearest neighbours and their distance in Å.
Atoms (fractional coordinates):
Ac 0.2079 0.2079 0.4159  1 Pt 2.86, 1 S 3.08
Ac 0.5000 0.0000 0.0000  2 S 2.88
Ac 0.0000 0.5000 0.0000  2 S 2.88
Ac 0.7921 0.7921 0.5841  1 Pt 2.86, 1 S 3.08
Pt 0.5988 0.5988 0.1977  1 Ac 2.86, 1 Pt 2.92
Pt 0.4012 0.4012 0.8023  1 Ac 2.86, 1 Pt 2.92
S 0.0000 0.0000 0.0000  6 Ac 2.88-3.08

Most stable: 1 (next structure +0.264 eV/atom)

--- 1 ---
This record from Alexandria describes a relaxed Ac2SbPt crystal. The functional is GGA-PBE.

Properties
size of the total moment = 0.0 μB/cell

Lattice parameters (Å, degrees): 3.9731 3.9731 7.7302 90.00 90.00 90.00
Last column: nearest neighbours and their distance in Å.
Atoms (fractional coordinates):
Ac 0.0000 0.0000 0.7651  4 Pt 3.35, 4 Sb 3.48, 1 Ac 3.63
Ac 0.0000 0.0000 0.2349  4 Pt 3.35, 4 Sb 3.48, 1 Ac 3.63
Sb 0.5000 0.5000 0.5000  8 Ac 3.48, 2 Pt 3.87
Pt 0.5000 0.5000 0.0000  8 Ac 3.35

--- 2 ---
This record from Alexandria describes a relaxed Ac2SbPt crystal. The functional is GGA-PBE.

Properties
size of the total moment = 0.0 μB/cell

Lattice parameters (Å, degrees): 4.5573 4.5573 8.1891 73.84 73.84 60.00
Last column: nearest neighbours and their distance in Å.
Atoms (fractional coordinates):
Ac 0.0738 0.0738 0.7786  3 Pt 3.15, 3 Sb 3.42
Ac 0.2591 0.2591 0.2226  3 Pt 3.14, 3 Sb 3.38
Sb 0.5012 0.5012 0.4963  6 Ac 3.38-3.42
Pt 0.6658 0.6658 0.0025  6 Ac 3.14-3.15

Most stable: 2 (next structure +0.069 eV/atom)

--- 1 ---
This record from Alexandria describes a relaxed Ac2SbPt crystal. The functional is GGA-PBE.

Properties
size of the total moment = 0.4 μB/cell

Lattice parameters (Å, degrees): 5.5842 5.5842 5.5842 60.00 60.00 60.00
Last column: nearest neighbours and their distance in Å.
Atoms (fractional coordinates):
Ac 0.7500 0.7500 0.7500  4 Pt 3.42, 4 Sb 3.42
Ac 0.2500 0.2500 0.2500  4 Sb 3.42, 4 Pt 3.42
Sb 0.0000 0.0000 0.0000  8 Ac 3.42
Pt 0.5000 0.5000 0.5000  8 Ac 3.42

--- 2 ---
This record from Alexandria describes a relaxed Ac2SbPt crystal. The functional is GGA-PBE.

Properties
size of the total moment = 0.0 μB/cell

Lattice parameters (Å, degrees): 4.7832 4.7832 9.6213 75.61 75.61 60.00
Last column: nearest neighbours and their distance in Å.
Atoms (fractional coordinates):
Ac 0.9004 0.9004 0.2987  1 Pt 2.75
Ac 0.0996 0.0996 0.7013  1 Pt 2.75
Pt 0.0000 0.0000 0.0000  2 Ac 2.75
Sb 0.5000 0.5000 0.5000  6 Ac 3.33

Most stable: 1 (next structure +0.557 eV/atom)

--- 1 ---
This record from Alexandria describes a relaxed AcSbPt4 crystal. The functional is GGA-PBE.

Properties
size of the total moment = 0.0 μB/cell

Lattice parameters (Å, degrees): 4.2089 7.5353 7.9142 90.00 90.00 90.00
Last column: nearest neighbours and their distance in Å.
Atoms (fractional coordinates):
Sb 0.0000 0.2279 0.7500  8 Pt 2.62-2.80
Sb 0.0000 0.7721 0.2500  8 Pt 2.62-2.80
Pt 0.5000 0.6750 0.0434  1 Pt 2.73, 2 Sb 2.76
Pt 0.5000 0.3250 0.5434  1 Pt 2.73, 2 Sb 2.76
Pt 0.5000 0.0180 0.2500  2 Sb 2.80, 6 Pt 2.89-3.06
Pt 0.5000 0.3250 0.9566  1 Pt 2.73, 2 Sb 2.76
Pt 0.5000 0.6750 0.4566  1 Pt 2.73, 2 Sb 2.76
Pt 0.5000 0.9820 0.7500  2 Sb 2.80, 6 Pt 2.89-3.06
Pt 0.0000 0.0000 0.5000  2 Sb 2.62, 4 Pt 2.89
Pt 0.0000 0.0000 0.0000  2 Sb 2.62, 4 Pt 2.89
Ac 0.0000 0.3412 0.2500  8 Pt 3.14-3.24, 1 Sb 3.25
Ac 0.0000 0.6588 0.7500  8 Pt 3.14-3.24, 1 Sb 3.25

--- 2 ---
This record from Alexandria describes a relaxed AcSbPt4 crystal. The functional is GGA-PBE.

Properties
size of the total moment = 0.0 μB/cell

Lattice parameters (Å, degrees): 5.5548 5.5548 5.5548 60.00 60.00 60.00
Last column: nearest neighbours and their distance in Å.
Atoms (fractional coordinates):
Ac 0.2500 0.2500 0.2500  12 Pt 3.26, 4 Sb 3.40
Pt 0.6255 0.6255 0.6255  6 Pt 2.77-2.79
Pt 0.6255 0.6255 0.1234  6 Pt 2.77-2.79
Pt 0.6255 0.1234 0.6255  6 Pt 2.77-2.79
Pt 0.1234 0.6255 0.6255  6 Pt 2.77-2.79
Sb 0.0000 0.0000 0.0000  12 Pt 3.26, 4 Ac 3.40

Most stable: 2 (next structure +0.081 eV/atom)

--- 1 ---
This record from Alexandria describes a relaxed AcSb2Pt crystal. The functional is GGA-PBE.

Properties
size of the total moment = 0.0 μB/cell

Lattice parameters (Å, degrees): 4.6860 4.7428 4.7428 90.00 90.00 90.00
Last column: nearest neighbours and their distance in Å.
Atoms (fractional coordinates):
Sb 0.0000 0.0000 0.5000  4 Ac 3.33, 4 Pt 3.33, 4 Sb 3.35
Sb 0.0000 0.5000 0.0000  4 Ac 3.33, 4 Pt 3.33, 4 Sb 3.35
Ac 0.5000 0.0000 0.0000  8 Sb 3.33, 4 Pt 3.35
Pt 0.5000 0.5000 0.5000  8 Sb 3.33, 4 Ac 3.35

--- 2 ---
This record from Alexandria describes a relaxed AcSb2Pt crystal. The functional is GGA-PBE.

Properties
size of the total moment = 0.0 μB/cell

Lattice parameters (Å, degrees): 4.3736 5.1926 5.2205 105.25 90.00 90.00
Last column: nearest neighbours and their distance in Å.
Atoms (fractional coordinates):
Sb 0.0000 0.8074 0.6951  2 Pt 2.71
Sb 0.0000 0.1926 0.3049  2 Pt 2.71
Ac 0.5000 0.5000 0.0000  2 Pt 3.16, 4 Sb 3.35
Pt 0.5000 0.0000 0.5000  4 Sb 2.71

--- 3 ---
This record from Alexandria describes a relaxed AcSb2Pt crystal. The functional is GGA-PBE.

Properties
size of the total moment = 0.0 μB/cell

Lattice parameters (Å, degrees): 4.1980 4.1980 9.4067 77.11 77.11 60.00
Last column: nearest neighbours and their distance in Å.
Atoms (fractional coordinates):
Ac 0.5000 0.5000 0.5000  2 Sb 3.35
Pt 0.0000 0.0000 0.0000  6 Sb 2.70
Sb 0.6227 0.6227 0.1319  3 Pt 2.70
Sb 0.3773 0.3773 0.8681  3 Pt 2.70

Most stable: 2 (next structure +0.240 eV/atom)

--- 1 ---
This record from Alexandria describes a relaxed AcScPt2 crystal. The functional is GGA-PBE.

Properties
size of the total moment = 0.0 μB/cell

Lattice parameters (Å, degrees): 4.5544 4.5544 5.9660 67.56 67.56 60.00
Last column: nearest neighbours and their distance in Å.
Atoms (fractional coordinates):
Pt 0.7146 0.7146 0.8562  3 Sc 2.74, 3 Pt 3.05
Pt 0.2854 0.2854 0.1438  3 Sc 2.74, 3 Pt 3.05
Sc 0.0000 0.0000 0.0000  6 Pt 2.74
Ac 0.5000 0.5000 0.5000  8 Pt 3.25-3.45

--- 2 ---
This record from Alexandria describes a relaxed AcScPt2 crystal. The functional is GGA-PBE.

Properties
size of the total moment = 0.0 μB/cell

Lattice parameters (Å, degrees): 3.5198 5.0756 5.0756 90.00 90.00 90.00
Last column: nearest neighbours and their distance in Å.
Atoms (fractional coordinates):
Sc 0.5000 0.0000 0.0000  8 Pt 3.09
Ac 0.5000 0.5000 0.5000  8 Pt 3.09
Pt 0.0000 0.0000 0.5000  4 Ac 3.09, 4 Sc 3.09
Pt 0.0000 0.5000 0.0000  4 Ac 3.09, 4 Sc 3.09

Most stable: 1 (next structure +0.204 eV/atom)